[1]
Computed, not measured: an optimized crystal structure of AcPr6Sc at the PBE level of DFT.

Geometry as CIF:
```
data_AcPr6Sc
_cell_length_a 5.2284
_cell_length_b 5.2284
_cell_length_c 10.4364
_cell_angle_alpha 90.00
_cell_angle_beta 90.00
_cell_angle_gamma 90.00
_symmetry_space_group_name_H-M 'P 4/m m m'
_symmetry_Int_Tables_number 123
_symmetry_space_group_name_Hall '-P 4 2'
loop_
_atom_site_label
_atom_site_fract_x
_atom_site_fract_y
_atom_site_fract_z
Ac1 0.0000 0.0000 0.0000
Pr1 0.0000 0.5000 0.2627
Pr2 0.5000 0.5000 0.0000
Pr3 0.5000 0.5000 0.5000
Sc1 0.0000 0.0000 0.5000
```

=====

[2]
Computed, not measured: an optimized crystal structure of Ac8Pr5Sc at the PBE level of DFT.

Geometry as CIF:
```
data_Ac8Pr5Sc
_cell_length_a 13.8635
_cell_length_b 11.1447
_cell_length_c 9.5827
_cell_angle_alpha 90.00
_cell_angle_beta 128.66
_cell_angle_gamma 90.00
_symmetry_space_group_name_H-M 'C 1 2 1'
_symmetry_Int_Tables_number 5
loop_
_symmetry_equiv_pos_as_xyz
'x,y,z'
'-x,y,-z'
'x+1/2,y+1/2,z'
'-x+1/2,y+1/2,-z'
loop_
_atom_site_label
_atom_site_fract_x
_atom_site_fract_y
_atom_site_fract_z
Ac1 0.0343 0.0000 0.2239
Ac2 0.1331 0.6716 0.4541
Ac3 0.2080 0.3770 0.7374
Ac4 0.2270 0.9766 0.7544
Pr1 0.0000 0.6827 0.0000
Pr2 0.0336 0.3453 0.2165
Pr3 0.2490 0.1788 0.0817
Sc1 0.0000 0.1726 0.5000
```

=====

| no. | energy of formation (eV/atom) | energy (eV for the cell shown) |
| --- | --- | --- |
| 1 | 0.04 | -38.77 |
| 2 | 0.17 | -121.52 |